## LaPtRh2 (PBE)

Data for a relaxed structure of LaPtRh2.

As for the total moment: 0.143 μB/atom. The total energy comes out at -6.76 eV/atom. As for the energy of formation from the pure elements: -0.3425 eV per atom.

```
LaPtRh2
1.0
0.000 3.322 3.322
3.322 0.000 3.322
3.322 3.322 0.000
Rh Pt La
2 1 1
Cartesian
4.983 4.983 4.983
1.661 1.661 1.661
3.322 3.322 3.322
0.000 0.000 0.000
```